(1)
14
Lattice="4.901 -0.982 -1.081 -3.457 6.928 -2.037 0.695 -0.017 6.754" Properties=species:S:1:pos:R:3 comment="Pt2Rh4W | Alexandria via LeMat-Bulk | PBE-GGA | relaxed" polymorph_energy_mev_per_atom=0 formation_enthalpy_0k_mev_per_atom=-51 spacegroup="No. 1" pbc="T T T"
Pt 3.428 0.577 3.381
Pt 1.408 2.683 0.202
Pt 1.257 1.889 4.529
Pt -0.203 5.883 -0.883
Rh -0.895 2.551 1.978
Rh -1.170 3.373 -0.601
Rh 1.505 5.307 1.197
Rh 1.093 0.787 2.055
Rh 2.553 3.176 2.541
Rh 0.300 4.348 3.610
Rh 1.948 4.356 -1.844
Rh 2.360 -0.286 5.826
W -1.189 5.088 1.493
W 4.317 -0.196 -1.173

=====

(2)
6
Lattice="3.805 0.000 0.000 0.000 3.805 0.000 0.000 0.000 11.551" Properties=species:S:1:pos:R:3 comment="Nd2DyCd3 | Alexandria via LeMat-Bulk | PBE-GGA | relaxed" formation_enthalpy_0k_mev_per_atom=-315 spacegroup="No. 123" pbc="T T T"
Nd 1.903 1.903 9.578
Nd 1.903 1.903 1.973
Dy 1.903 1.903 5.775
Cd 0.000 0.000 0.000
Cd 0.000 0.000 7.569
Cd 0.000 0.000 3.982

=====

(3)
8
Lattice="4.738 0.000 0.000 0.000 4.738 0.000 -2.369 -2.369 6.845" Properties=species:S:1:pos:R:3 comment="Hf2TaNb5 | Alexandria via LeMat-Bulk | PBE-GGA | relaxed" formation_enthalpy_0k_mev_per_atom=25 spacegroup="No. 139" pbc="T T T"
Hf 2.369 2.369 3.441
Hf 0.000 0.000 3.405
Ta 0.000 0.000 0.000
Nb 2.369 2.369 0.000
Nb 2.369 0.000 5.273
Nb 0.000 2.369 5.273
Nb 0.000 2.369 1.572
Nb 2.369 0.000 1.572

=====

(4)
12
Lattice="-5.505 -3.975 -2.255 2.916 -1.069 -5.236 4.414 -3.467 6.685" Properties=species:S:1:pos:R:3 comment="Sc4GaTe | Alexandria via LeMat-Bulk | PBE-GGA | relaxed" polymorph_energy_mev_per_atom=258 spacegroup="No. 15" formation_energy_uncorrected_ev_per_atom=-0.39 pbc="T T T"
Sc 3.673 -5.040 -0.596
Sc -0.638 -4.185 -2.929
Sc -1.848 -3.471 -0.209
Sc 2.463 -4.326 2.124
Sc 0.613 -6.935 -3.035
Sc 1.500 -2.954 -0.867
Sc 1.212 -1.575 2.230
Sc 0.325 -5.556 0.062
Ga -0.546 -3.721 2.215
Ga 3.665 -2.268 0.725
Te -1.882 -3.740 -5.594
Te -0.707 -1.304 -1.897

=====

(5)
4
Lattice="5.269 0.000 0.000 2.634 4.563 0.000 2.634 1.521 4.302" Properties=species:S:1:pos:R:3 comment="TmPuPbAu | Alexandria via LeMat-Bulk | PBE-GGA | relaxed" formation_enthalpy_0k_mev_per_atom=-401 spacegroup="No. 216" pbc="T T T"
Pb 2.634 1.521 1.076
Tm 5.269 3.042 2.151
Au 7.903 4.563 3.227
Pu 0.000 0.000 0.000

=====

(6)
8
Lattice="3.986 0.000 0.000 0.000 7.526 0.233 0.000 -2.529 6.988" Properties=species:S:1:pos:R:3 comment="Nd4CoSeCl2 | Alexandria via LeMat-Bulk | PBE-GGA | relaxed" spacegroup="No. 10" formation_energy_uncorrected_ev_per_atom=-1.22 pbc="T T T"
Nd 1.993 1.401 1.635
Nd 1.993 3.596 5.587
Nd 0.000 0.186 5.607
Nd 0.000 4.811 1.614
Co 1.993 3.763 0.117
Se 0.000 0.000 0.000
Cl 1.993 -1.264 3.494
Cl 0.000 2.498 3.611

=====

(7)
7
Lattice="4.322 0.000 0.000 -2.161 3.753 -0.312 0.000 -1.837 7.092" Properties=species:S:1:pos:R:3 comment="Li2InGe2Pd2 | Alexandria via LeMat-Bulk | PBE-GGA | relaxed" formation_enthalpy_0k_mev_per_atom=-442 spacegroup="No. 12" pbc="T T T"
Li 0.000 0.280 2.898
Li 2.161 1.636 3.881
In 0.000 0.000 0.000
Ge 2.161 -0.784 4.945
Ge 0.000 2.700 1.835
Pd 2.161 1.393 1.263
Pd 0.000 0.523 5.516

=====

(8)
12
Lattice="-0.400 -2.078 -5.696 6.242 -2.292 0.855 -5.484 -3.900 4.820" Properties=species:S:1:pos:R:3 comment="Ce4PuOs | Alexandria via LeMat-Bulk | PBE-GGA | relaxed" formation_enthalpy_0k_mev_per_atom=-26 spacegroup="No. 15" pbc="T T T"
Ce -3.457 -5.747 -0.855
Ce 0.276 -5.730 -0.921
Ce -1.081 -5.594 2.070
Ce 2.448 -5.479 2.035
Ce -2.090 -2.791 -2.056
Ce 1.440 -2.676 -2.091
Ce 0.082 -2.540 0.901
Ce 3.815 -2.523 0.835
Pu 2.018 -4.047 -0.057
Pu -1.660 -4.223 0.037
Os 0.720 -6.566 4.194
Os -0.361 -1.704 -4.214

=====

no.,DFT total energy (eV per atom)
1,-7.83
2,-3.13
3,-10.24
4,-5.64
5,-6.85
6,-5.39
7,-4.18
8,-8.24